# 1
Density functional theory data (PBE) for NaLi2MgCl6 after structural relaxation.

Calculated values
* symmetry: C2/c, No. 15
* total magnetization: 0.2 μB/f.u.

abc: 5.807 9.369 9.369
angles: 81.13 72.43 72.43
Site moments in Bohr magnetons follow the coordinates.
Fractional positions:
1 Na 0.250 0.297 0.703  0.00
2 Na 0.750 0.703 0.297  0.00
3 Li 0.099 0.867 0.622  0.00
4 Li 0.401 0.378 0.133  0.00
5 Li 0.901 0.133 0.378  0.00
6 Li 0.599 0.622 0.867  0.00
7 Mg 0.250 0.914 0.086  0.00
8 Mg 0.750 0.086 0.914  0.00
9 Cl 0.193 0.973 0.815  0.00
10 Cl 0.307 0.185 0.027  0.00
11 Cl 0.807 0.027 0.185  0.00
12 Cl 0.693 0.815 0.973  0.00
13 Cl 0.270 0.907 0.353  0.00
14 Cl 0.230 0.647 0.093  0.00
15 Cl 0.730 0.093 0.647  0.00
16 Cl 0.770 0.353 0.907  0.00
17 Cl 0.995 0.629 0.631  0.08
18 Cl 0.505 0.369 0.371  0.08
19 Cl 0.005 0.371 0.369  0.08
20 Cl 0.495 0.631 0.629  0.08



# 2
Density functional theory data (PBE) for LiNdMgCl6 after structural relaxation.

Calculated values
* symmetry: P-31c, No. 163
* total magnetization: 0.0 μB/f.u.

abc: 6.696 6.696 11.858
angles: 90.00 90.00 120.00
Fractional positions:
1 Li 0.000 0.000 0.000
2 Li 0.000 0.000 0.500
3 Nd 0.333 0.667 0.250
4 Nd 0.667 0.333 0.750
5 Mg 0.667 0.333 0.250
6 Mg 0.333 0.667 0.750
7 Cl 0.672 0.647 0.127
8 Cl 0.975 0.328 0.127
9 Cl 0.328 0.975 0.627
10 Cl 0.025 0.672 0.873
11 Cl 0.353 0.328 0.373
12 Cl 0.975 0.647 0.373
13 Cl 0.647 0.975 0.873
14 Cl 0.672 0.025 0.373
15 Cl 0.025 0.353 0.627
16 Cl 0.353 0.025 0.127
17 Cl 0.647 0.672 0.627
18 Cl 0.328 0.353 0.873



# 3
Density functional theory data (PBE) for LiMgNi2Cl after structural relaxation.

Calculated values
* symmetry: P4/mmm, No. 123
* total magnetization: 0.0 μB/f.u.
* energy above the most stable polymorph in this dataset: 31 meV per atom

abc: 4.191 4.434 4.191
angles: 90.00 90.00 90.00
Fractional positions:
1 Ni 0.000 0.000 0.500
2 Ni 0.500 0.000 0.000
3 Mg 0.500 0.500 0.500
4 Li 0.000 0.000 0.000
5 Cl 0.000 0.500 0.000



| no. | formation energy without anion corrections (meV per atom) |
| --- | --- |
| 1 | -1534 |
| 2 | -1984 |
| 3 | 382 |